(1)
Entry from the Alexandria database: an optimized crystal structure of Sc3CrSb (GGA-PBE).

Cell lengths 4.8397, 4.8397, 4.8397 Å; angles 90.00, 90.00, 90.00 degrees
Element x y z (fractional)
Sc1 0.0000 0.5000 0.0000
Sc2 0.0000 0.0000 0.5000
Sc3 0.5000 0.0000 0.0000
Sb1 0.5000 0.5000 0.5000
Cr1 0.0000 0.0000 0.0000

Crystal system ... cubic
Uncorrected energy ... -31.96 eV/cell
Formation energy without anion corrections ... 0.1564 eV per atom
ΔE to the lowest computed polymorph ... 0.00 eV/f.u.



(2)
Entry from the Alexandria database: an optimized crystal structure of RbTi2Cl6 (GGA-PBE).

Cell lengths 7.8977, 6.1894, 6.1894 Å; angles 120.00, 90.00, 90.00 degrees
Element x y z (fractional)
Rb1 0.0000 0.0000 0.0000
Ti1 0.5000 0.6667 0.3333
Ti2 0.5000 0.3333 0.6667
Cl1 0.6821 0.6522 0.6522
Cl2 0.3179 0.6522 0.0000
Cl3 0.3179 0.0000 0.6522
Cl4 0.6821 0.3478 0.0000
Cl5 0.3179 0.3478 0.3478
Cl6 0.6821 0.0000 0.3478

Crystal system ... trigonal
Uncorrected energy ... -42.70 eV/cell
Formation energy without anion corrections ... -1.6513 eV per atom



Values of total magnetization, in order: 0.000; 3.000, all in μB per formula unit.